This record from Alexandria describes a relaxed FeBF3 crystal. The functional is GGA+U.

Its excess energy over the best structure of this formula in the dataset is 159 meV/atom. The value obtained for the total energy is -21.19 eV for the cell shown.

Cell lengths 3.745, 3.745, 3.745 Å; angles 90.00, 90.00, 90.00 degrees
Space group Pm-3m (No. 221)
Unique sites:
Fe 0.000 0.000 0.000
B 0.500 0.500 0.500
F 0.000 0.500 0.500